Entry from Alexandria: a relaxed La3GaGe crystal (PBE).

Calculated values
The value obtained for the calculated total energy is -5.063 eV per atom. As for the energy relative to the lowest polymorph listed for this composition: 0.018 eV per atom.

Cell lengths 16.1773, 4.2109, 8.7268 Å; angles 90.00, 94.62, 90.00 degrees
Closest atoms and distances in Å follow each position.
Space group C2/m (No. 12)
Asymmetric unit:
La  0.0440  0.0000  0.1708 (multiplicity 4)  1 La 3.20, 4 Ge 3.20-3.28, 1 Ga 3.38
La  0.0942  0.5000  0.5689 (multiplicity 4)  1 Ge 3.13, 3 Ga 3.14-3.15, 1 La 3.19
La  0.2365  0.0000  0.8223 (multiplicity 4)  3 Ge 3.17-3.20, 3 Ga 3.19-3.43
Ga  0.2116  0.0000  0.4278 (multiplicity 4)  2 Ga 2.70
Ge  0.1067  0.5000  0.9287 (multiplicity 4)  8 La 3.13-3.28